Record 1
DFT (SCAN) results for a crystal of Cd2Ag relaxed with PBEsol.

Values from the calculation:
E above lowest polymorph = 0.054 eV per atom

a b c (Å): 12.325 12.325 12.325
angles (deg): 90.00 90.00 90.00
Space group Fd-3m (No. 227, origin choice 2)
Symmetry-distinct sites (fractional):
Cd (0.000, 0.000, 0.000) [16 per cell]
Cd (0.061, 0.375, 0.875) [48 per cell]
Ag (0.035, 0.035, 0.215) [32 per cell]



Record 2
DFT (SCAN) results for a crystal of Cd2Ag relaxed with PBEsol.

Values from the calculation:
E above lowest polymorph = 0.000 eV per atom

a b c (Å): 5.247 4.736 9.037
angles (deg): 90.00 90.00 90.00
Space group Pnma (No. 62)
Symmetry-distinct sites (fractional):
Cd (0.150, 0.250, 0.170) [4 per cell]
Cd (0.169, 0.250, 0.508) [4 per cell]
Ag (0.178, 0.250, 0.833) [4 per cell]



Record 3
DFT (SCAN) results for a crystal of Cd4Ag5 relaxed with PBEsol.

Values from the calculation:
E above lowest polymorph = 0.000 eV per atom

a b c (Å): 8.803 8.803 4.158
angles (deg): 90.00 90.00 90.00
Space group I4/mmm (No. 139)
Symmetry-distinct sites (fractional):
Cd (0.000, 0.324, 0.000) [8 per cell]
Ag (0.000, 0.000, 0.000) [2 per cell]
Ag (0.165, 0.165, 0.500) [8 per cell]



Record 4
DFT (SCAN) results for a crystal of Cd2Ag relaxed with PBEsol.

Values from the calculation:
E above lowest polymorph = 0.028 eV per atom

a b c (Å): 3.199 3.199 10.998
angles (deg): 90.00 90.00 90.00
Space group I4/mmm (No. 139)
Symmetry-distinct sites (fractional):
Cd (0.000, 0.000, 0.161) [4 per cell]
Ag (0.000, 0.000, 0.500) [2 per cell]



Record 5
DFT (SCAN) results for a crystal of CdAg2 relaxed with PBEsol.

Values from the calculation:
E above lowest polymorph = 0.000 eV per atom

a b c (Å): 8.730 5.012 4.777
angles (deg): 90.00 90.00 90.00
Space group Cmcm (No. 63)
Symmetry-distinct sites (fractional):
Cd (0.000, 0.177, 0.250) [4 per cell]
Ag (0.168, 0.330, 0.750) [8 per cell]



Record 6
DFT (SCAN) results for a crystal of CdAg3 relaxed with PBEsol.

Values from the calculation:
Total energy = -31.17 eV per atom

a b c (Å): 9.588 2.953 4.965
angles (deg): 90.00 101.29 90.00
Space group C2/m (No. 12)
Symmetry-distinct sites (fractional):
Cd (0.000, 0.000, 0.000) [2 per cell]
Ag (0.000, 0.500, 0.500) [2 per cell]
Ag (0.249, 0.000, 0.747) [4 per cell]



Record 7
DFT (SCAN) results for a crystal of CdAg relaxed with PBEsol.

Values from the calculation:
Total energy = -30.92 eV per atom

a b c (Å): 3.100 3.100 7.579
angles (deg): 90.00 90.00 90.00
Space group P4/nmm (No. 129, origin choice 2)
Symmetry-distinct sites (fractional):
Cd (0.250, 0.250, 0.138) [2 per cell]
Ag (0.250, 0.250, 0.617) [2 per cell]



Record 8
DFT (SCAN) results for a crystal of Cd2Ag relaxed with PBEsol.

Values from the calculation:
E above lowest polymorph = 0.029 eV per atom

a b c (Å): 25.200 3.137 2.934
angles (deg): 90.00 90.12 90.00
Space group C2/m (No. 12)
Symmetry-distinct sites (fractional):
Cd (0.050, 0.000, 0.250) [4 per cell]
Cd (0.207, 0.000, 0.250) [4 per cell]
Ag (0.128, 0.500, 0.749) [4 per cell]



Record 9
DFT (SCAN) results for a crystal of CdAg3 relaxed with PBEsol.

Values from the calculation:
Total energy = -31.14 eV per atom

a b c (Å): 2.9234 2.9234 28.0485
angles (deg): 90.00 90.00 120.00
Space group R-3m (No. 166, hexagonal axes)
Symmetry-distinct sites (fractional):
Cd (0.0000, 0.0000, 0.0000) [3 per cell]
Ag (0.0000, 0.0000, 0.2482) [6 per cell]
Ag (0.0000, 0.0000, 0.5000) [3 per cell]



Record 10
DFT (SCAN) results for a crystal of CdAg5 relaxed with PBEsol.

Values from the calculation:
E above lowest polymorph = 0.000 eV per atom

a b c (Å): 4.9869 4.9869 4.7172
angles (deg): 90.00 90.00 120.00
Space group P-62m (No. 189)
Symmetry-distinct sites (fractional):
Cd (0.0000, 0.0000, 0.0000) [1 per cell]
Ag (0.0000, 0.3364, 0.5000) [3 per cell]
Ag (0.3333, 0.6667, 0.0000) [2 per cell]



Record 11
DFT (SCAN) results for a crystal of CdAg relaxed with PBEsol.

Values from the calculation:
Total energy = -30.93 eV per atom

a b c (Å): 2.9818 2.9818 4.6969
angles (deg): 90.00 90.00 120.00
Space group P-6m2 (No. 187)
Symmetry-distinct sites (fractional):
Cd (0.0000, 0.0000, 0.0000) [1 per cell]
Ag (0.3333, 0.6667, 0.5000) [1 per cell]



Record 12
DFT (SCAN) results for a crystal of Cd5Ag4 relaxed with PBEsol.

Values from the calculation:
E above lowest polymorph = 0.005 eV per atom

a b c (Å): 8.1682 8.1682 5.7474
angles (deg): 90.00 90.00 120.00
Space group P6_3/mcm (No. 193)
Symmetry-distinct sites (fractional):
Cd (0.0000, 0.3012, 0.2500) [6 per cell]
Cd (0.3333, 0.6667, 0.0000) [4 per cell]
Ag (0.0000, 0.0000, 0.0000) [2 per cell]
Ag (0.0000, 0.3636, 0.7500) [6 per cell]



Number 1: magnetization 0.0 μB/cell, volume 19.50 Å³ per atom. Number 2: magnetization 0.0 μB/cell, volume 18.71 Å³ per atom. Number 3: magnetization 0.0 μB/cell, volume 17.90 Å³ per atom. Number 4: magnetization 0.0 μB/cell, volume 18.75 Å³ per atom. Number 5: magnetization 0.0 μB/cell, volume 17.42 Å³ per atom. Number 6: magnetization 0.0 μB/cell, volume 17.23 Å³ per atom. Number 7: magnetization 0.0 μB/cell, volume 18.21 Å³ per atom. Number 8: magnetization 0.0 μB/cell, volume 19.33 Å³ per atom. Number 9: magnetization 0.0 μB/cell, volume 17.30 Å³ per atom. Number 10: magnetization 0.0 μB/cell, volume 16.93 Å³ per atom. Number 11: magnetization 0.0 μB/cell, volume 18.08 Å³ per atom. Number 12: magnetization 0.0 μB/cell, volume 18.45 Å³ per atom.